An optimized crystal structure of ZrNi2P2, computed with PBEsol.

The crystal system is tetragonal. As for the space group: No. 139. The formation energy is -91.75 kJ/mol of atoms. The total DFT energy (no corrections) comes out at -7.55 eV per atom. The calculation puts the volume at 63.4 Å³/cell.

Cell lengths 5.3962, 5.3962, 5.3962 Å; angles 140.36, 140.36, 57.31 degrees
Last column: nearest neighbours and their distance in Å.
Positions (direct):
Zr (0.0000, 0.0000, 0.0000)  8 P 2.82, 8 Ni 2.99
Ni (0.2500, 0.7500, 0.5000)  4 P 2.22
Ni (0.7500, 0.2500, 0.5000)  4 P 2.22
P (0.3821, 0.3821, 0.0000)  4 Ni 2.22, 1 P 2.23
P (0.6179, 0.6179, 0.0000)  4 Ni 2.22, 1 P 2.23